Entry 1:
AgPIr4: relaxed, PBEsol.

Computed properties:
- ΔH_f (0 K) (eV per atom) = 0.762
- final energy (eV per atom) = -7.304

a b c (Å): 5.138 5.138 5.138
angles (deg): 60.00 60.00 60.00
Sites, in units of the cell vectors:
Ir 0.875 0.375 0.375
Ag 0.000 0.000 0.000
P 0.750 0.750 0.750
Ir 0.375 0.375 0.875
Ir 0.375 0.875 0.375
Ir 0.375 0.375 0.375

---

Entry 2:
OsRu: relaxed, PBEsol.

Computed properties:
- ΔH_f (0 K) (eV per atom) = -0.009
- final energy (eV per atom) = -11.203

a b c (Å): 2.709 4.691 5.068
angles (deg): 117.57 105.50 90.00
Sites, in units of the cell vectors:
Os 0.625 0.959 0.251
Ru 0.876 0.542 0.751
Ru 0.124 0.458 0.249
Os 0.375 0.041 0.749

---

Entry 3:
Tl2NiTe: relaxed, PBEsol.

Computed properties:
- energy relative to the lowest polymorph listed for this composition (meV/atom) = 0
- final energy (eV per atom) = -3.504

a b c (Å): 3.211 3.211 8.780
angles (deg): 90.00 90.00 89.96
Sites, in units of the cell vectors:
Tl 0.000 0.000 0.317
Te 0.500 0.500 0.000
Tl 0.000 0.000 0.683
Ni 0.500 0.500 0.500

---

Entry 4:
Ta2FeSb: relaxed, PBEsol.

Computed properties:
- final energy (eV per atom) = -9.588

a b c (Å): 3.383 4.526 5.158
angles (deg): 116.02 109.14 90.00
Last column: magnetic moment on the atom in μB.
Sites, in units of the cell vectors:
Ta 0.770 0.270 0.541  -0.09
Fe 0.498 0.498 0.995  1.79
Ta 0.002 0.002 0.005  0.03
Sb 0.230 0.730 0.460  0.01

---

Entry 5:
TiGa4O8: relaxed, PBEsol.

Computed properties:
- final energy (eV per atom) = -7.065

a b c (Å): 3.026 6.323 8.037
angles (deg): 81.91 79.15 76.16
Sites, in units of the cell vectors:
O 0.108 0.474 0.311
O 0.646 0.168 0.540
O 0.892 0.526 0.689
O 0.834 0.112 0.219
O 0.354 0.832 0.460
O 0.166 0.888 0.781
Ti 0.000 0.000 0.000
Ga 0.240 0.156 0.363
Ga 0.465 0.358 0.712
Ga 0.535 0.642 0.288
O 0.444 0.192 0.920
O 0.556 0.808 0.080
Ga 0.760 0.844 0.637

---

Entry 6:
Ba2ReHg: relaxed, PBEsol.

Computed properties:
- ΔH_f (0 K) (eV per atom) = 0.729
- final energy (eV per atom) = -3.820

a b c (Å): 3.603 5.715 5.715
angles (deg): 90.00 90.00 90.00
Last column: magnetic moment on the atom in μB.
Sites, in units of the cell vectors:
Re 0.500 0.500 0.500  1.68
Hg 0.500 0.000 0.000  -0.02
Ba 0.000 0.000 0.500  -0.02
Ba 0.000 0.500 0.000  -0.02

---

Entry 7:
RbLiAu2I: relaxed, PBEsol.

Computed properties:
- final energy (eV per atom) = -1.941

a b c (Å): 5.880 5.880 6.675
angles (deg): 90.00 90.00 90.00
Sites, in units of the cell vectors:
Au 0.000 0.500 0.000
I 0.000 0.000 0.500
Au 0.500 0.000 0.000
Li 0.500 0.500 0.500
Rb 0.000 0.000 0.000

---

Entry 8:
Mn4AlW: relaxed, PBEsol.

Computed properties:
- ΔH_f (0 K) (eV per atom) = -0.097
- final energy (eV per atom) = -9.587

a b c (Å): 4.644 4.644 4.644
angles (deg): 60.00 60.00 60.00
Last column: magnetic moment on the atom in μB.
Sites, in units of the cell vectors:
Mn 0.879 0.374 0.374  0.10
Mn 0.374 0.374 0.879  0.10
Mn 0.374 0.374 0.374  0.00
W 0.750 0.750 0.750  -0.02
Al 0.000 0.000 0.000  0.10
Mn 0.374 0.879 0.374  0.10

---

Entry 9:
SrTcN3: relaxed, PBEsol.

Computed properties:
- final energy (eV per atom) = -8.238

a b c (Å): 6.069 7.456 7.456
angles (deg): 87.92 78.81 78.81
Sites, in units of the cell vectors:
Sr 0.750 0.091 0.909
Sr 0.750 0.673 0.327
N 0.994 0.678 0.630
N 0.494 0.630 0.678
Tc 0.756 0.201 0.376
N 0.334 0.234 0.011
Tc 0.244 0.799 0.624
N 0.006 0.322 0.370
N 0.834 0.011 0.234
N 0.835 0.406 0.867
N 0.165 0.594 0.133
Sr 0.250 0.909 0.091
Tc 0.256 0.376 0.201
N 0.506 0.370 0.322
N 0.665 0.133 0.594
N 0.666 0.766 0.989
Sr 0.250 0.327 0.673
N 0.335 0.867 0.406
Tc 0.744 0.624 0.799
N 0.166 0.989 0.766

---

Entry 10:
LaOsAu3: relaxed, PBEsol.

Computed properties:
- ΔH_f (0 K) (eV per atom) = 1.933
- final energy (eV per atom) = -3.934

a b c (Å): 5.340 5.340 5.340
angles (deg): 90.00 90.00 90.00
Last column: magnetic moment on the atom in μB.
Sites, in units of the cell vectors:
La 0.000 0.000 0.000  -0.02
Au 0.000 0.000 0.500  0.06
Os 0.500 0.500 0.500  3.19
Au 0.000 0.500 0.000  0.06
Au 0.500 0.000 0.000  0.06

---

Entry 11:
Ti3RhO: relaxed, PBEsol.

Computed properties:
- final energy (eV per atom) = -9.045

a b c (Å): 4.036 4.036 4.036
angles (deg): 90.00 90.00 90.00
Sites, in units of the cell vectors:
Rh 0.500 0.500 0.500
Ti 0.000 0.500 0.000
Ti 0.000 0.000 0.500
O 0.000 0.000 0.000
Ti 0.500 0.000 0.000

---

Entry 12:
Y2ReS2: relaxed, PBEsol.

Computed properties:
- final energy (eV per atom) = -7.951

a b c (Å): 5.299 5.304 5.299
angles (deg): 60.04 90.00 119.96
Sites, in units of the cell vectors:
S 0.694 0.387 0.306
Y 0.750 0.500 0.750
S 0.306 0.613 0.694
Re 0.000 0.000 0.000
Y 0.250 0.500 0.250

---

Entry 13:
OsRuS2N: relaxed, PBEsol.

Computed properties:
- final energy (eV per atom) = -6.957

a b c (Å): 3.604 4.676 4.676
angles (deg): 90.00 90.00 90.00
Last column: magnetic moment on the atom in μB.
Sites, in units of the cell vectors:
Os 0.000 0.000 0.000  -0.05
N 0.500 0.000 0.000  0.04
Ru 0.500 0.500 0.500  1.51
S 0.000 0.000 0.500  0.00
S 0.000 0.500 0.000  0.00

---

Entry 14:
Ba2ZnSb: relaxed, PBEsol.

Computed properties:
- energy relative to the lowest polymorph listed for this composition (meV/atom) = 62
- final energy (eV per atom) = -3.173

a b c (Å): 4.295 5.250 6.696
angles (deg): 113.08 108.71 90.00
Last column: magnetic moment on the atom in μB.
Sites, in units of the cell vectors:
Ba 0.976 0.976 0.952  0.06
Ba 0.768 0.268 0.535  0.10
Sb 0.549 0.549 0.098  0.00
Zn 0.207 0.707 0.415  0.05

---

Entry 15:
Y2TaW: relaxed, PBEsol.

Computed properties:
- ΔH_f (0 K) (eV per atom) = 0.356
- energy relative to the lowest polymorph listed for this composition (meV/atom) = 0
- final energy (eV per atom) = -9.645

a b c (Å): 3.506 5.074 5.921
angles (deg): 115.37 107.22 90.00
Sites, in units of the cell vectors:
Y 0.981 0.981 0.961
Ta 0.540 0.540 0.081
Y 0.758 0.258 0.515
W 0.221 0.721 0.442

---

Entry 16:
KLa2Ta: relaxed, PBEsol.

Computed properties:
- ΔH_f (0 K) (eV per atom) = 0.568
- energy relative to the lowest polymorph listed for this composition (meV/atom) = 0
- final energy (eV per atom) = -5.526

a b c (Å): 3.399 3.399 12.770
angles (deg): 82.35 82.35 60.00
Sites, in units of the cell vectors:
Ta 0.500 0.500 0.500
K 0.000 0.000 0.000
La 0.233 0.233 0.302
La 0.767 0.767 0.698

---

Entry 17:
TaOs5: relaxed, PBEsol.

Computed properties:
- ΔH_f (0 K) (eV per atom) = -0.046
- energy relative to the lowest polymorph listed for this composition (meV/atom) = 27
- final energy (eV per atom) = -12.317

a b c (Å): 3.854 3.862 6.196
angles (deg): 71.84 90.00 90.00
Sites, in units of the cell vectors:
Os 0.000 0.173 0.653
Os 0.500 0.328 0.345
Os 0.500 0.000 0.000
Ta 0.000 0.500 0.000
Os 0.000 0.827 0.347
Os 0.500 0.672 0.655

---

Entry 18:
CaReAg: relaxed, PBEsol.

Computed properties:
- ΔH_f (0 K) (eV per atom) = 1.424
- final energy (eV per atom) = -4.835

a b c (Å): 4.582 4.582 4.582
angles (deg): 60.00 60.00 60.00
Last column: magnetic moment on the atom in μB.
Sites, in units of the cell vectors:
Re 0.250 0.250 0.250  1.98
Ag 0.000 0.000 0.000  0.11
Ca 0.500 0.500 0.500  0.07

---

Entry 19:
MgTaAs: relaxed, PBEsol.

Computed properties:
- ΔH_f (0 K) (eV per atom) = 1.094
- energy relative to the lowest polymorph listed for this composition (meV/atom) = 1220
- final energy (eV per atom) = -5.365

a b c (Å): 4.397 4.397 4.397
angles (deg): 60.00 60.00 60.00
Sites, in units of the cell vectors:
Mg 0.750 0.750 0.750
As 0.500 0.500 0.500
Ta 0.000 0.000 0.000

---

Entry 20:
ReNi2I: relaxed, PBEsol.

Computed properties:
- final energy (eV per atom) = -5.729

a b c (Å): 4.353 4.353 4.353
angles (deg): 60.00 60.00 60.00
Sites, in units of the cell vectors:
Ni 0.750 0.750 0.750
I 0.000 0.000 0.000
Re 0.500 0.500 0.500
Ni 0.250 0.250 0.250